Density functional theory data (GGA-PBE) for crystalline RbSbRuO6 at its relaxed geometry.

Summary:
Crystal system: monoclinic
Density of states at the Fermi level (states/eV per cell): 3.03
Raw formation energy (eV per atom): -1.195

Cell lengths 5.242, 5.409, 6.353 Å; angles 90.68, 91.41, 61.01 degrees
Sites, in units of the cell vectors:
1 Rb 0.997 0.005 0.000
2 Sb 0.335 0.330 0.500
3 Ru 0.660 0.681 0.500
4 O 0.988 0.405 0.321
5 O 0.394 0.990 0.673
6 O 0.607 0.405 0.679
7 O 0.986 0.597 0.680
8 O 0.416 0.597 0.320
9 O 0.616 0.990 0.327

***

Density functional theory data (GGA-PBE) for crystalline KTbMgTe3 at its relaxed geometry.

Summary:
Crystal system: monoclinic
Density of states at the Fermi level (states/eV per cell): 0.00
Raw formation energy (eV per atom): -1.204

Cell lengths 4.520, 9.658, 10.719 Å; angles 107.61, 90.00, 90.00 degrees
Sites, in units of the cell vectors:
1 K 0.250 0.208 0.232
2 K 0.750 0.792 0.768
3 Tb 0.250 0.670 0.135
4 Tb 0.750 0.330 0.865
5 Mg 0.250 0.084 0.609
6 Mg 0.750 0.916 0.391
7 Te 0.750 0.893 0.130
8 Te 0.250 0.107 0.870
9 Te 0.250 0.781 0.461
10 Te 0.750 0.219 0.539
11 Te 0.750 0.461 0.162
12 Te 0.250 0.539 0.838

***

Density functional theory data (GGA-PBE) for crystalline CeMgSn3 at its relaxed geometry.

Summary:
Crystal system: orthorhombic
Calculated formation energy (meV per atom): -377
Density of states at the Fermi level (states/eV per cell): 21.61

Cell lengths 6.249, 6.351, 13.301 Å; angles 90.00, 90.00, 90.04 degrees
Sites, in units of the cell vectors:
1 Ce 0.501 0.250 0.687
2 Ce 0.499 0.750 0.313
3 Ce 0.001 0.250 0.313
4 Ce 0.999 0.750 0.687
5 Mg 0.250 0.500 0.111
6 Mg 0.750 0.000 0.889
7 Mg 0.750 0.500 0.889
8 Mg 0.250 0.000 0.111
9 Sn 0.250 0.000 0.499
10 Sn 0.750 0.500 0.501
11 Sn 0.750 0.000 0.501
12 Sn 0.250 0.500 0.499
13 Sn 0.198 0.750 0.917
14 Sn 0.802 0.250 0.083
15 Sn 0.698 0.750 0.083
16 Sn 0.302 0.250 0.917
17 Sn 0.498 0.750 0.731
18 Sn 0.502 0.250 0.269
19 Sn 0.998 0.750 0.269
20 Sn 0.002 0.250 0.731

***

Density functional theory data (GGA-PBE) for crystalline HoAl4Cu8 at its relaxed geometry.

Summary:
Crystal system: tetragonal
Calculated formation energy (meV per atom): -242
Density of states at the Fermi level (states/eV per cell): 5.12

Cell lengths 5.075, 6.553, 6.553 Å; angles 81.38, 67.22, 67.22 degrees
Sites, in units of the cell vectors:
1 Ho 0.000 0.000 0.000
2 Al 0.000 0.000 0.500
3 Al 0.500 0.000 0.500
4 Al 0.000 0.500 0.000
5 Al 0.500 0.500 0.000
6 Cu 0.000 0.351 0.649
7 Cu 0.000 0.649 0.351
8 Cu 0.351 0.649 0.649
9 Cu 0.649 0.351 0.351
10 Cu 0.500 0.782 0.218
11 Cu 0.500 0.218 0.782
12 Cu 0.282 0.218 0.218
13 Cu 0.718 0.782 0.782

***

Density functional theory data (GGA-PBE) for crystalline LaTa2Zn2 at its relaxed geometry.

Summary:
Crystal system: tetragonal
Calculated formation energy (meV per atom): 188
Density of states at the Fermi level (states/eV per cell): 9.05
Offset from the most stable computed form (meV per atom): 0

Cell lengths 8.197, 8.197, 2.930 Å; angles 90.00, 90.00, 90.00 degrees
Sites, in units of the cell vectors:
1 Zn 0.175 0.675 0.500
2 Zn 0.675 0.825 0.500
3 Zn 0.825 0.325 0.500
4 Zn 0.325 0.175 0.500
5 La 0.000 0.000 0.000
6 La 0.500 0.500 0.000
7 Ta 0.383 0.883 0.000
8 Ta 0.883 0.617 0.000
9 Ta 0.617 0.117 0.000
10 Ta 0.117 0.383 0.000

***

Density functional theory data (GGA-PBE) for crystalline TePb at its relaxed geometry.

Summary:
Crystal system: orthorhombic
Raw formation energy (eV per atom): -0.354

Cell lengths 6.893, 6.893, 4.747 Å; angles 90.00, 90.00, 141.35 degrees
Sites, in units of the cell vectors:
1 Pb 0.863 0.137 0.750
2 Pb 0.137 0.863 0.250
3 Te 0.629 0.371 0.750
4 Te 0.371 0.629 0.250

***

Density functional theory data (GGA-PBE) for crystalline LiYAl2Pt4 at its relaxed geometry.

Summary:
Crystal system: trigonal
Calculated formation energy (meV per atom): -1032
Density of states at the Fermi level (states/eV per cell): 3.04

Cell lengths 4.280, 4.280, 8.679 Å; angles 75.72, 75.72, 60.00 degrees
Sites, in units of the cell vectors:
1 Li 0.500 0.500 0.500
2 Y 0.000 0.000 0.000
3 Al 0.762 0.762 0.713
4 Al 0.238 0.238 0.287
5 Pt 0.402 0.402 0.794
6 Pt 0.869 0.869 0.394
7 Pt 0.131 0.131 0.606
8 Pt 0.598 0.598 0.206

***

Density functional theory data (GGA-PBE) for crystalline LaMnHg at its relaxed geometry.

Summary:
Crystal system: cubic
Calculated formation energy (meV per atom): 523
Density of states at the Fermi level (states/eV per cell): 2.64

Cell lengths 5.079, 5.079, 5.079 Å; angles 60.00, 60.00, 60.00 degrees
Sites, in units of the cell vectors:
1 Hg 0.500 0.500 0.500
2 La 0.750 0.750 0.750
3 Mn 0.000 0.000 0.000

***

Number 1: electronic total energy -54.9 eV for the cell shown. Number 2: electronic total energy -47.9 eV for the cell shown. Number 3: electronic total energy -85.7 eV for the cell shown. Number 4: electronic total energy -55.5 eV for the cell shown. Number 5: electronic total energy -60.5 eV for the cell shown. Number 6: electronic total energy -15.1 eV for the cell shown. Number 7: electronic total energy -48.3 eV for the cell shown. Number 8: electronic total energy -12.8 eV for the cell shown.